1.
Compound: Zr4RuAu
Source: Alexandria via LeMat-Bulk
Functional: PBE-GGA
Structure: optimized geometry

Values from the calculation:
Formation enthalpy at 0 K ... -14 kJ per mole of atoms
Distance to the lowest polymorph of the same formula ... 0 meV per atom
Volume ... 23.1 Å³/atom
Mass density ... 7.93 g/cm³

Structure (CIF):
```
data_Zr4RuAu
_cell_length_a 4.595
_cell_length_b 4.595
_cell_length_c 6.578
_cell_angle_alpha 90.00
_cell_angle_beta 90.00
_cell_angle_gamma 90.00
_symmetry_space_group_name_H-M 'P 4/m m m'
_symmetry_Int_Tables_number 123
_symmetry_space_group_name_Hall '-P 4 2'
loop_
_atom_site_label
_atom_site_type_symbol
_atom_site_fract_x
_atom_site_fract_y
_atom_site_fract_z
Zr1 Zr 0.000 0.500 0.237
Ru1 Ru 0.000 0.000 0.000
Au1 Au 0.500 0.500 0.500
```

***

2.
Compound: ZrRu2Au
Source: Alexandria via LeMat-Bulk
Functional: PBE-GGA
Structure: optimized geometry

Values from the calculation:
Formation enthalpy at 0 K ... -2 kJ per mole of atoms
Distance to the lowest polymorph of the same formula ... 227 meV per atom
Volume ... 16.8 Å³/atom
Mass density ... 12.09 g/cm³

Structure (CIF):
```
data_ZrRu2Au
_cell_length_a 9.193
_cell_length_b 3.060
_cell_length_c 4.930
_cell_angle_alpha 90.00
_cell_angle_beta 103.68
_cell_angle_gamma 90.00
_symmetry_space_group_name_H-M 'C 1 2/m 1'
_symmetry_Int_Tables_number 12
_symmetry_space_group_name_Hall '-C 2y'
loop_
_atom_site_label
_atom_site_type_symbol
_atom_site_fract_x
_atom_site_fract_y
_atom_site_fract_z
Zr1 Zr 0.000 0.000 0.000
Ru1 Ru 0.246 0.500 0.262
Au1 Au 0.000 0.500 0.500
```

***

3.
Compound: AuS
Source: Alexandria via LeMat-Bulk
Functional: PBE-GGA
Structure: optimized geometry

Values from the calculation:
Formation energy without anion corrections ... 0.22 eV per atom
Volume ... 28.6 Å³/atom
Mass density ... 6.66 g/cm³

Structure (CIF):
```
data_AuS
_cell_length_a 10.8538
_cell_length_b 10.8538
_cell_length_c 3.3592
_cell_angle_alpha 90.00
_cell_angle_beta 90.00
_cell_angle_gamma 120.00
_symmetry_space_group_name_H-M 'P 63/m'
_symmetry_Int_Tables_number 176
_symmetry_space_group_name_Hall '-P 6c'
loop_
_atom_site_label
_atom_site_type_symbol
_atom_site_fract_x
_atom_site_fract_y
_atom_site_fract_z
Au1 Au 0.0470 0.7096 0.2500
S1 S 0.1268 0.4196 0.2500
```

***

4.
Compound: AuS3
Source: Alexandria via LeMat-Bulk
Functional: PBE-GGA
Structure: optimized geometry

Values from the calculation:
Formation energy without anion corrections ... 0.06 eV per atom
Volume ... 26.1 Å³/atom
Mass density ... 4.66 g/cm³

Structure (CIF):
```
data_AuS3
_cell_length_a 8.375
_cell_length_b 11.203
_cell_length_c 4.579
_cell_angle_alpha 90.00
_cell_angle_beta 103.53
_cell_angle_gamma 90.00
_symmetry_space_group_name_H-M 'C 1 2/m 1'
_symmetry_Int_Tables_number 12
_symmetry_space_group_name_Hall '-C 2y'
loop_
_atom_site_label
_atom_site_type_symbol
_atom_site_fract_x
_atom_site_fract_y
_atom_site_fract_z
Au1 Au 0.000 0.162 0.000
S1 S 0.075 0.319 0.702
S2 S 0.087 0.000 0.702
```

***

5.
Compound: AuS
Source: Alexandria via LeMat-Bulk
Functional: PBE-GGA
Structure: optimized geometry

Values from the calculation:
Formation energy without anion corrections ... 0.22 eV per atom
Volume ... 22.8 Å³/atom
Mass density ... 8.33 g/cm³

Structure (CIF):
```
data_AuS
_cell_length_a 5.673
_cell_length_b 5.673
_cell_length_c 5.673
_cell_angle_alpha 90.00
_cell_angle_beta 90.00
_cell_angle_gamma 90.00
_symmetry_space_group_name_H-M 'F -4 3 m'
_symmetry_Int_Tables_number 216
_symmetry_space_group_name_Hall 'F -4 2 3'
loop_
_atom_site_label
_atom_site_type_symbol
_atom_site_fract_x
_atom_site_fract_y
_atom_site_fract_z
Au1 Au 0.000 0.000 0.000
S1 S 0.250 0.250 0.250
```

***

6.
Compound: AuS
Source: Alexandria via LeMat-Bulk
Functional: PBE-GGA
Structure: optimized geometry

Values from the calculation:
Formation energy without anion corrections ... 0.19 eV per atom
Volume ... 18.3 Å³/atom
Mass density ... 10.39 g/cm³

Structure (CIF):
```
data_AuS
_cell_length_a 5.270
_cell_length_b 5.270
_cell_length_c 5.270
_cell_angle_alpha 90.00
_cell_angle_beta 90.00
_cell_angle_gamma 90.00
_symmetry_space_group_name_H-M 'F m -3 m'
_symmetry_Int_Tables_number 225
_symmetry_space_group_name_Hall '-F 4 2 3'
loop_
_atom_site_label
_atom_site_type_symbol
_atom_site_fract_x
_atom_site_fract_y
_atom_site_fract_z
Au1 Au 0.000 0.000 0.000
S1 S 0.000 0.000 0.500
```

***

7.
Compound: AuS
Source: Alexandria via LeMat-Bulk
Functional: PBE-GGA
Structure: optimized geometry

Values from the calculation:
Formation energy without anion corrections ... 0.16 eV per atom
Volume ... 26.3 Å³/atom
Mass density ... 7.24 g/cm³

Structure (CIF):
```
data_AuS
_cell_length_a 6.568
_cell_length_b 7.099
_cell_length_c 9.015
_cell_angle_alpha 90.00
_cell_angle_beta 90.00
_cell_angle_gamma 90.00
_symmetry_space_group_name_H-M 'P 21 21 21'
_symmetry_Int_Tables_number 19
_symmetry_space_group_name_Hall 'P 2ac 2ab'
loop_
_atom_site_label
_atom_site_type_symbol
_atom_site_fract_x
_atom_site_fract_y
_atom_site_fract_z
Au1 Au 0.035 0.131 0.237
Au2 Au 0.035 0.634 0.763
S1 S 0.120 0.382 0.388
S2 S 0.120 0.886 0.612
```

***

8.
Compound: AuS
Source: Alexandria via LeMat-Bulk
Functional: PBE-GGA
Structure: optimized geometry

Values from the calculation:
Formation energy without anion corrections ... 0.09 eV per atom
Volume ... 23.2 Å³/atom
Mass density ... 8.19 g/cm³

Structure (CIF):
```
data_AuS
_cell_length_a 6.453
_cell_length_b 8.189
_cell_length_c 5.272
_cell_angle_alpha 90.00
_cell_angle_beta 90.00
_cell_angle_gamma 90.00
_symmetry_space_group_name_H-M 'P m m n'
_symmetry_Int_Tables_number 59
loop_
_symmetry_equiv_pos_as_xyz
'x,y,z'
'-x,-y,-z'
'-x+1/2,-y+1/2,z'
'x+1/2,y+1/2,-z'
'x+1/2,-y,-z'
'-x+1/2,y,z'
'-x,y+1/2,-z'
'x,-y+1/2,z'
loop_
_atom_site_label
_atom_site_type_symbol
_atom_site_fract_x
_atom_site_fract_y
_atom_site_fract_z
Au1 Au 0.000 0.000 0.000
Au2 Au 0.250 0.250 0.399
S1 S 0.250 0.250 0.886
S2 S 0.250 0.537 0.328
```